Record 1
Material: Tl2MoI4Br2
Method: DFT, PBE-GGA
State: relaxed

Output
The symmetry is C2/m (12). For the uncorrected formation energy, the calculation gives -44.97 kJ per mole of atoms. As for the total energy: -3.256 eV per atom.

abc: 7.650 7.650 8.090
angles: 121.19 121.19 63.75
Fractional coordinates of all 9 atoms:
Tl: 0.248 0.248 0.257
Tl: 0.752 0.752 0.743
Mo: 0.500 0.500 0.000
I: 0.216 0.701 0.198
I: 0.299 0.784 0.802
I: 0.701 0.216 0.198
I: 0.784 0.299 0.802
Br: 0.260 0.260 0.695
Br: 0.740 0.740 0.305

=====

Record 2
Material: LiFeTe2
Method: DFT, PBE-GGA
State: relaxed

Output
The symmetry is R-3m (166). For the uncorrected formation energy, the calculation gives -24.35 kJ per mole of atoms. As for the total energy: -4.417 eV per atom.

abc: 7.154 7.154 7.154
angles: 30.97 30.97 30.97
Fractional coordinates of all 4 atoms:
Li: 0.000 0.000 0.000
Fe: 0.500 0.500 0.500
Te: 0.235 0.235 0.235
Te: 0.765 0.765 0.765

=====

Record 3
Material: KIrRh3
Method: DFT, PBE-GGA
State: relaxed

Output
Its formation energy is 2611 meV/atom. The symmetry is Pm-3m (221). As for the total energy: -3.792 eV per atom. The value obtained for the energy above the most stable polymorph in this dataset is 1.631 eV per atom.

abc: 4.579 4.579 4.579
angles: 90.00 90.00 90.00
Fractional coordinates of all 5 atoms:
K: 0.000 0.000 0.000
Ir: 0.500 0.500 0.500
Rh: 0.000 0.000 0.500
Rh: 0.000 0.500 0.000
Rh: 0.500 0.000 0.000

=====

Record 4
Material: Pr2Al3Au5
Method: DFT, PBE-GGA
State: relaxed

Output
Its formation energy is -689 meV/atom. The symmetry is C2/c (15). As for the total energy: -4.406 eV per atom. The value obtained for the energy above the most stable polymorph in this dataset is 0.000 eV per atom.

abc: 8.801 8.801 6.301
angles: 110.76 110.76 89.10
Fractional coordinates of all 20 atoms:
Pr: 0.099 0.366 0.232
Pr: 0.366 0.099 0.732
Pr: 0.634 0.901 0.268
Pr: 0.901 0.634 0.768
Al: 0.016 0.754 0.385
Al: 0.246 0.984 0.115
Al: 0.500 0.500 0.250
Al: 0.500 0.500 0.750
Al: 0.754 0.016 0.885
Al: 0.984 0.246 0.615
Au: 0.000 0.000 0.250
Au: 0.000 0.000 0.750
Au: 0.242 0.444 0.845
Au: 0.264 0.736 0.250
Au: 0.264 0.736 0.750
Au: 0.444 0.242 0.345
Au: 0.556 0.758 0.655
Au: 0.736 0.264 0.250
Au: 0.736 0.264 0.750
Au: 0.758 0.556 0.155

=====

Record 5
Material: CsTiCuTe3
Method: DFT, PBE-GGA
State: relaxed

Output
The symmetry is P2_1/m (11). For the uncorrected formation energy, the calculation gives -66.90 kJ per mole of atoms. As for the total energy: -4.405 eV per atom.

abc: 9.901 4.058 10.754
angles: 90.00 116.86 90.00
Fractional coordinates of all 12 atoms:
Cs: 0.013 0.250 0.263
Cs: 0.987 0.750 0.737
Ti: 0.468 0.250 0.168
Ti: 0.532 0.750 0.832
Cu: 0.482 0.750 0.401
Cu: 0.518 0.250 0.599
Te: 0.264 0.750 0.148
Te: 0.332 0.750 0.557
Te: 0.351 0.250 0.871
Te: 0.649 0.750 0.129
Te: 0.668 0.250 0.443
Te: 0.736 0.250 0.852

=====

Record 6
Material: MnNiAu3
Method: DFT, PBE-GGA
State: relaxed

Output
Its formation energy is 710 meV/atom. The symmetry is Pm-3m (221). As for the total energy: -4.247 eV per atom. The value obtained for the energy above the most stable polymorph in this dataset is 0.713 eV per atom.

abc: 4.745 4.745 4.745
angles: 90.00 90.00 90.00
Fractional coordinates of all 5 atoms:
Mn: 0.000 0.000 0.000
Ni: 0.500 0.500 0.500
Au: 0.000 0.500 0.500
Au: 0.500 0.000 0.500
Au: 0.500 0.500 0.000

=====

Record 7
Material: Si2Ru2W
Method: DFT, PBE-GGA
State: relaxed

Output
The symmetry is P4/mbm (127). For the uncorrected formation energy, the calculation gives -31.13 kJ per mole of atoms. As for the total energy: -8.793 eV per atom. The value obtained for the energy above the most stable polymorph in this dataset is 0.000 eV per atom.

abc: 6.986 6.986 2.793
angles: 90.00 90.00 90.00
Fractional coordinates of all 10 atoms:
Si: 0.143 0.357 0.000
Si: 0.357 0.857 0.000
Si: 0.643 0.143 0.000
Si: 0.857 0.643 0.000
Ru: 0.155 0.655 0.500
Ru: 0.345 0.155 0.500
Ru: 0.655 0.845 0.500
Ru: 0.845 0.345 0.500
W: 0.000 0.000 0.000
W: 0.500 0.500 0.000

=====

Record 8
Material: HfSc2Te
Method: DFT, PBE-GGA
State: relaxed

Output
The symmetry is I-42d (122). For the uncorrected formation energy, the calculation gives 0.10 kJ per mole of atoms. As for the total energy: -6.439 eV per atom.

abc: 6.527 6.527 6.527
angles: 101.81 101.81 126.19
Fractional coordinates of all 8 atoms:
Hf: 0.000 0.000 0.000
Hf: 0.750 0.250 0.500
Sc: 0.157 0.125 0.532
Sc: 0.375 0.843 0.968
Sc: 0.593 0.625 0.468
Sc: 0.875 0.407 0.032
Te: 0.250 0.750 0.500
Te: 0.500 0.500 0.000

=====

Record 9
Material: Nb3MoRu
Method: DFT, PBE-GGA
State: relaxed

Output
Its formation energy is 135 meV/atom. The symmetry is C2/c (15). As for the total energy: -9.928 eV per atom. The value obtained for the energy above the most stable polymorph in this dataset is 0.361 eV per atom.

abc: 7.825 7.825 6.389
angles: 91.84 91.84 63.02
Fractional coordinates of all 20 atoms:
Nb: 0.060 0.254 0.058
Nb: 0.186 0.696 0.581
Nb: 0.254 0.060 0.558
Nb: 0.301 0.397 0.937
Nb: 0.304 0.814 0.919
Nb: 0.397 0.301 0.437
Nb: 0.603 0.699 0.563
Nb: 0.696 0.186 0.081
Nb: 0.699 0.603 0.063
Nb: 0.746 0.940 0.442
Nb: 0.814 0.304 0.419
Nb: 0.940 0.746 0.942
Mo: 0.006 0.568 0.318
Mo: 0.432 0.994 0.182
Mo: 0.568 0.006 0.818
Mo: 0.994 0.432 0.682
Ru: 0.065 0.935 0.250
Ru: 0.414 0.586 0.250
Ru: 0.586 0.414 0.750
Ru: 0.935 0.065 0.750

=====

Record 10
Material: La4NdHo2Er
Method: DFT, PBE-GGA
State: relaxed

Output
Its formation energy is 83 meV/atom. The symmetry is P2/m (10). As for the total energy: -4.692 eV per atom.

abc: 5.986 5.980 7.746
angles: 90.00 90.02 90.00
Fractional coordinates of all 8 atoms:
La: 0.000 0.000 0.242
La: 0.000 0.000 0.758
La: 0.498 0.500 0.758
La: 0.502 0.500 0.242
Nd: 0.500 0.000 0.500
Ho: 0.000 0.500 0.500
Ho: 0.500 0.000 0.000
Er: 0.000 0.500 0.000

=====

Record 11
Material: PmDy2Sb
Method: DFT, PBE-GGA
State: relaxed

Output
The symmetry is P4/mmm (123). For the uncorrected formation energy, the calculation gives -48.13 kJ per mole of atoms. As for the total energy: -5.018 eV per atom. The value obtained for the energy above the most stable polymorph in this dataset is 0.063 eV per atom.

abc: 4.837 4.837 4.789
angles: 90.00 90.00 90.00
Fractional coordinates of all 4 atoms:
Pm: 0.000 0.000 0.000
Dy: 0.000 0.500 0.500
Dy: 0.500 0.000 0.500
Sb: 0.500 0.500 0.000

=====

Record 12
Material: Li3Sb5Se12
Method: DFT, PBE-GGA
State: relaxed

Output
The symmetry is Ia-3d (230). For the uncorrected formation energy, the calculation gives -26.39 kJ per mole of atoms. As for the total energy: -3.682 eV per atom.

abc: 14.422 14.422 14.422
angles: 109.47 109.47 109.47
Fractional coordinates of all 80 atoms:
Li: 0.125 0.250 0.375
Li: 0.125 0.375 0.750
Li: 0.250 0.375 0.125
Li: 0.250 0.875 0.625
Li: 0.375 0.125 0.250
Li: 0.375 0.750 0.125
Li: 0.625 0.250 0.875
Li: 0.625 0.875 0.750
Li: 0.750 0.125 0.375
Li: 0.750 0.625 0.875
Li: 0.875 0.625 0.250
Li: 0.875 0.750 0.625
Sb: 0.000 0.000 0.000
Sb: 0.000 0.000 0.500
Sb: 0.000 0.500 0.000
Sb: 0.000 0.500 0.500
Sb: 0.125 0.750 0.875
Sb: 0.125 0.875 0.250
Sb: 0.250 0.125 0.875
Sb: 0.250 0.625 0.375
Sb: 0.375 0.250 0.625
Sb: 0.375 0.625 0.750
Sb: 0.500 0.000 0.000
Sb: 0.500 0.000 0.500
Sb: 0.500 0.500 0.000
Sb: 0.500 0.500 0.500
Sb: 0.625 0.375 0.250
Sb: 0.625 0.750 0.375
Sb: 0.750 0.375 0.625
Sb: 0.750 0.875 0.125
Sb: 0.875 0.125 0.750
Sb: 0.875 0.250 0.125
Se: 0.044 0.220 0.132
Se: 0.044 0.324 0.912
Se: 0.088 0.632 0.411
Se: 0.088 0.956 0.676
Se: 0.089 0.720 0.676
Se: 0.089 0.868 0.412
Se: 0.132 0.044 0.220
Se: 0.132 0.588 0.911
Se: 0.176 0.220 0.589
Se: 0.176 0.456 0.588
Se: 0.220 0.132 0.044
Se: 0.220 0.589 0.176
Se: 0.280 0.324 0.911
Se: 0.280 0.456 0.368
Se: 0.324 0.911 0.280
Se: 0.324 0.912 0.044
Se: 0.368 0.280 0.456
Se: 0.368 0.589 0.912
Se: 0.411 0.088 0.632
Se: 0.411 0.824 0.780
Se: 0.412 0.089 0.868
Se: 0.412 0.824 0.544
Se: 0.456 0.368 0.280
Se: 0.456 0.588 0.176
Se: 0.544 0.412 0.824
Se: 0.544 0.632 0.720
Se: 0.588 0.176 0.456
Se: 0.588 0.911 0.132
Se: 0.589 0.176 0.220
Se: 0.589 0.912 0.368
Se: 0.632 0.411 0.088
Se: 0.632 0.720 0.544
Se: 0.676 0.088 0.956
Se: 0.676 0.089 0.720
Se: 0.720 0.544 0.632
Se: 0.720 0.676 0.089
Se: 0.780 0.411 0.824
Se: 0.780 0.868 0.956
Se: 0.824 0.544 0.412
Se: 0.824 0.780 0.411
Se: 0.868 0.412 0.089
Se: 0.868 0.956 0.780
Se: 0.911 0.132 0.588
Se: 0.911 0.280 0.324
Se: 0.912 0.044 0.324
Se: 0.912 0.368 0.589
Se: 0.956 0.676 0.088
Se: 0.956 0.780 0.868

=====

Record 13
Material: AlCuCl2
Method: DFT, PBE-GGA
State: relaxed

Output
The symmetry is I-4m2 (119). For the uncorrected formation energy, the calculation gives -6.75 kJ per mole of atoms. As for the total energy: -2.953 eV per atom. The value obtained for the energy above the most stable polymorph in this dataset is 0.576 eV per atom.

abc: 6.846 6.846 6.846
angles: 148.25 148.25 45.52
Fractional coordinates of all 4 atoms:
Al: 0.000 0.000 0.000
Cu: 0.750 0.250 0.500
Cl: 0.250 0.750 0.500
Cl: 0.500 0.500 0.000

=====

Record 14
Material: K2In2O3
Method: DFT, PBE-GGA
State: relaxed

Output
The symmetry is P2_1/c (14). For the uncorrected formation energy, the calculation gives -112.89 kJ per mole of atoms. As for the total energy: -4.391 eV per atom.

abc: 6.523 6.895 7.263
angles: 90.00 118.03 90.00
Fractional coordinates of all 14 atoms:
K: 0.155 0.146 0.410
K: 0.155 0.354 0.910
K: 0.845 0.646 0.090
K: 0.845 0.854 0.590
In: 0.341 0.622 0.579
In: 0.341 0.878 0.079
In: 0.659 0.122 0.921
In: 0.659 0.378 0.421
O: 0.000 0.000 0.000
O: 0.000 0.500 0.500
O: 0.383 0.612 0.279
O: 0.383 0.888 0.779
O: 0.617 0.112 0.221
O: 0.617 0.388 0.721

=====

Record 15
Material: Ac2LaZn
Method: DFT, PBE-GGA
State: relaxed

Output
Its formation energy is -112 meV/atom. The symmetry is P4/mmm (123). As for the total energy: -3.717 eV per atom. The value obtained for the energy above the most stable polymorph in this dataset is 0.017 eV per atom.

abc: 3.922 3.922 9.312
angles: 90.00 90.00 90.00
Fractional coordinates of all 4 atoms:
Ac: 0.000 0.000 0.208
Ac: 0.000 0.000 0.792
La: 0.500 0.500 0.500
Zn: 0.500 0.500 0.000

=====

Record 16
Material: Rb3LaNd2Te6
Method: DFT, PBE-GGA
State: relaxed

Output
The symmetry is C2/m (12). For the uncorrected formation energy, the calculation gives -138.62 kJ per mole of atoms. As for the total energy: -4.455 eV per atom.

abc: 8.109 8.109 8.980
angles: 98.66 98.66 120.00
Fractional coordinates of all 12 atoms:
Rb: 0.000 0.000 0.000
Rb: 0.334 0.666 0.000
Rb: 0.666 0.334 0.000
La: 0.500 0.500 0.500
Nd: 0.167 0.833 0.500
Nd: 0.833 0.167 0.500
Te: 0.095 0.431 0.294
Te: 0.232 0.232 0.705
Te: 0.431 0.095 0.294
Te: 0.569 0.905 0.706
Te: 0.768 0.768 0.295
Te: 0.905 0.569 0.706

=====

Record 17
Material: HoSe2O5
Method: DFT, PBE-GGA
State: relaxed

Output
The symmetry is Pbcn (60). For the uncorrected formation energy, the calculation gives -143.91 kJ per mole of atoms. As for the total energy: -6.034 eV per atom.

abc: 7.317 10.694 6.870
angles: 90.00 90.00 90.00
Fractional coordinates of all 32 atoms:
Ho: 0.000 0.067 0.250
Ho: 0.000 0.933 0.750
Ho: 0.500 0.433 0.750
Ho: 0.500 0.567 0.250
Se: 0.126 0.358 0.028
Se: 0.126 0.642 0.528
Se: 0.374 0.142 0.528
Se: 0.374 0.858 0.028
Se: 0.626 0.142 0.972
Se: 0.626 0.858 0.472
Se: 0.874 0.358 0.472
Se: 0.874 0.642 0.972
O: 0.000 0.430 0.250
O: 0.000 0.570 0.750
O: 0.157 0.066 0.538
O: 0.157 0.934 0.038
O: 0.178 0.219 0.140
O: 0.178 0.781 0.640
O: 0.322 0.281 0.640
O: 0.322 0.719 0.140
O: 0.343 0.434 0.038
O: 0.343 0.566 0.538
O: 0.500 0.070 0.750
O: 0.500 0.930 0.250
O: 0.657 0.434 0.462
O: 0.657 0.566 0.962
O: 0.678 0.281 0.860
O: 0.678 0.719 0.360
O: 0.822 0.219 0.360
O: 0.822 0.781 0.860
O: 0.843 0.066 0.962
O: 0.843 0.934 0.462

=====

Record 18
Material: In4I3Br
Method: DFT, PBE-GGA
State: relaxed

Output
The symmetry is Pmn2_1 (31). For the uncorrected formation energy, the calculation gives -44.33 kJ per mole of atoms. As for the total energy: -2.619 eV per atom. The value obtained for the energy above the most stable polymorph in this dataset is 0.039 eV per atom.

abc: 10.387 11.190 6.932
angles: 90.00 90.00 90.00
Fractional coordinates of all 16 atoms:
In: 0.000 0.130 0.000
In: 0.000 0.829 0.488
In: 0.248 0.342 0.502
In: 0.252 0.658 0.002
In: 0.500 0.171 0.988
In: 0.500 0.870 0.500
In: 0.748 0.658 0.002
In: 0.752 0.342 0.502
I: 0.000 0.139 0.498
I: 0.227 0.340 0.000
I: 0.273 0.660 0.500
I: 0.500 0.861 0.998
I: 0.727 0.660 0.500
I: 0.773 0.340 0.000
Br: 0.000 0.812 0.022
Br: 0.500 0.188 0.522

=====

Record 19
Material: ErInPtAu
Method: DFT, PBE-GGA
State: relaxed

Output
Its formation energy is -811 meV/atom. The symmetry is F-43m (216). As for the total energy: -4.966 eV per atom.

abc: 4.856 4.856 4.856
angles: 60.00 60.00 60.00
Fractional coordinates of all 4 atoms:
Er: 0.000 0.000 0.000
In: 0.500 0.500 0.500
Pt: 0.250 0.250 0.250
Au: 0.750 0.750 0.750